# 1
DFT (PBE) results for a relaxed structure of Er2ZnPd.

Output
* calculated formation energy: -39 kJ/mol of formula units
* VASP energy: -4.000 eV per atom
* D(E_F): 2.8 states/eV/f.u.
* mass density: 6.621 g cm⁻³

a = 4.0125 Å, b = 4.0125 Å, c = 9.3979 Å
α = 77.67°, β = 77.67°, γ = 60.00°
Element x y z (fractional)
Er 0.1117 0.1117 0.6650
Er 0.8883 0.8883 0.3350
Pd 0.5000 0.5000 0.5000
Zn 0.0000 0.0000 0.0000



# 2
DFT (PBE) results for a relaxed structure of Er3Zn2Pd5.

Output
* calculated formation energy: -768 kJ/mol of formula units
* VASP energy: -5.016 eV per atom
* D(E_F): 3.8 states/eV/f.u.
* mass density: 10.417 g cm⁻³

a = 3.8680 Å, b = 9.7977 Å, c = 9.7977 Å
α = 90.00°, β = 90.00°, γ = 90.00°
Element x y z (fractional)
Pd 0.5000 0.9292 0.2105
Pd 0.5000 0.0708 0.7895
Pd 0.5000 0.2105 0.0708
Pd 0.5000 0.7105 0.4292
Pd 0.5000 0.2895 0.5708
Pd 0.5000 0.0000 0.5000
Pd 0.5000 0.5708 0.7105
Pd 0.5000 0.4292 0.2895
Pd 0.5000 0.5000 0.0000
Pd 0.5000 0.7895 0.9292
Er 0.0000 0.5000 0.5000
Er 0.0000 0.3252 0.8252
Er 0.0000 0.1748 0.3252
Er 0.0000 0.8252 0.6748
Er 0.0000 0.6748 0.1748
Er 0.0000 0.0000 0.0000
Zn 0.0000 0.8798 0.3798
Zn 0.0000 0.6202 0.8798
Zn 0.0000 0.1202 0.6202
Zn 0.0000 0.3798 0.1202



# 3
DFT (PBE) results for a relaxed structure of Er4Zn2Pd.

Output
* calculated formation energy: -258 kJ/mol of formula units
* VASP energy: -4.095 eV per atom
* D(E_F): 4.7 states/eV/f.u.
* mass density: 8.902 g cm⁻³

a = 6.0332 Å, b = 6.0332 Å, c = 6.0332 Å
α = 109.81°, β = 109.30°, γ = 109.30°
Element x y z (fractional)
Er 0.0000 0.5000 0.0000
Er 0.5000 0.0000 0.0000
Er 0.5000 0.5000 0.5000
Er 0.0000 0.0000 0.5000
Zn 0.5000 0.0000 0.5000
Zn 0.5000 0.5000 0.0000
Pd 0.0000 0.0000 0.0000



# 4
DFT (PBE) results for a relaxed structure of Er2ZnPd2.

Output
* calculated formation energy: -383 kJ/mol of formula units
* VASP energy: -4.951 eV per atom
* D(E_F): 2.3 states/eV/f.u.
* mass density: 10.010 g cm⁻³

a = 5.6329 Å, b = 5.6329 Å, c = 7.7940 Å
α = 75.92°, β = 75.92°, γ = 58.89°
Element x y z (fractional)
Er 0.5042 0.7944 0.8510
Er 0.4958 0.2056 0.1490
Er 0.7944 0.5042 0.3510
Er 0.2056 0.4958 0.6490
Zn 0.1835 0.8165 0.2500
Zn 0.8165 0.1835 0.7500
Pd 0.0005 0.2613 0.9999
Pd 0.7387 0.9995 0.5001
Pd 0.9995 0.7387 0.0001
Pd 0.2613 0.0005 0.4999



# 5
DFT (PBE) results for a relaxed structure of ErZnPd5.

Output
* calculated formation energy: -272 kJ/mol of formula units
* VASP energy: -4.945 eV per atom
* D(E_F): 3.2 states/eV/f.u.
* mass density: 10.027 g cm⁻³

a = 7.4331 Å, b = 7.4331 Å, c = 11.1157 Å
α = 41.52°, β = 41.52°, γ = 44.58°
Element x y z (fractional)
Pd 0.2583 0.2709 0.6141
Pd 0.7599 0.2401 0.7500
Pd 0.7418 0.7288 0.6436
Pd 0.7291 0.7417 0.8859
Pd 0.7288 0.7418 0.1436
Pd 0.7417 0.7291 0.3859
Pd 0.2401 0.7599 0.2500
Pd 0.2582 0.2712 0.3564
Pd 0.2712 0.2582 0.8564
Pd 0.2709 0.2583 0.1141
Er 0.7579 0.2421 0.2500
Er 0.2421 0.7579 0.7500
Zn 0.0000 0.0000 0.0000
Zn 0.0000 0.0000 0.5000



# 6
DFT (PBE) results for a relaxed structure of Er3Zn2Pd4.

Output
* calculated formation energy: -665 kJ/mol of formula units
* VASP energy: -4.878 eV per atom
* D(E_F): 4.4 states/eV/f.u.
* mass density: 9.781 g cm⁻³

a = 4.2795 Å, b = 5.2943 Å, c = 8.6975 Å
α = 94.19°, β = 90.00°, γ = 113.84°
Element x y z (fractional)
Pd 0.2889 0.5778 0.9106
Pd 0.7111 0.4222 0.0894
Pd 0.9171 0.8341 0.3648
Pd 0.0829 0.1659 0.6352
Er 0.3739 0.7479 0.6152
Er 0.6261 0.2521 0.3848
Er 0.0000 0.0000 0.0000
Zn 0.6760 0.3520 0.7821
Zn 0.3240 0.6480 0.2179



# 7
DFT (PBE) results for a relaxed structure of ErZn3Pd.

Output
* calculated formation energy: -4 kJ/mol of formula units
* VASP energy: -2.723 eV per atom
* D(E_F): 2.1 states/eV/f.u.
* mass density: 6.721 g cm⁻³

a = 4.5968 Å, b = 4.5968 Å, c = 11.4594 Å
α = 101.57°, β = 101.57°, γ = 90.00°
Element x y z (fractional)
Zn 0.1257 0.3746 0.2514
Zn 0.6254 0.8743 0.7486
Zn 0.6552 0.6552 0.3104
Zn 0.3448 0.3448 0.6896
Zn 0.1257 0.8768 0.2514
Zn 0.1232 0.8743 0.7486
Er 0.0000 0.0000 0.0000
Er 0.2500 0.7500 0.5000
Pd 0.9114 0.4114 0.8229
Pd 0.5886 0.0886 0.1771



# 8
DFT (PBE) results for a relaxed structure of Er3Zn4Pd2.

Output
* calculated formation energy: -519 kJ/mol of formula units
* VASP energy: -3.838 eV per atom
* D(E_F): 5.6 states/eV/f.u.
* mass density: 9.214 g cm⁻³

a = 4.4307 Å, b = 5.6995 Å, c = 8.4485 Å
α = 114.27°, β = 90.00°, γ = 112.87°
Element x y z (fractional)
Pd 0.5940 0.1880 0.2610
Pd 0.4060 0.8120 0.7390
Zn 0.0261 0.0523 0.3676
Zn 0.2822 0.5643 0.9515
Zn 0.9739 0.9477 0.6324
Zn 0.7178 0.4357 0.0485
Er 0.6823 0.3645 0.6436
Er 0.3177 0.6355 0.3564
Er 0.0000 0.0000 0.0000



# 9
DFT (PBE) results for a relaxed structure of ErZnPd6.

Output
* calculated formation energy: -228 kJ/mol of formula units
* VASP energy: -4.920 eV per atom
* D(E_F): 4.0 states/eV/f.u.
* mass density: 9.796 g cm⁻³

a = 4.8508 Å, b = 4.8508 Å, c = 7.2704 Å
α = 73.13°, β = 73.13°, γ = 67.04°
Element x y z (fractional)
Pd 0.0663 0.5536 0.2930
Pd 0.9337 0.4464 0.7070
Pd 0.6470 0.6470 0.0613
Pd 0.4464 0.9337 0.7070
Pd 0.3530 0.3530 0.9387
Pd 0.5536 0.0663 0.2930
Er 0.5000 0.5000 0.5000
Zn 0.0000 0.0000 0.0000



# 10
DFT (PBE) results for a relaxed structure of Er3Zn2Pd7.

Output
* calculated formation energy: -843 kJ/mol of formula units
* VASP energy: -5.111 eV per atom
* D(E_F): 4.4 states/eV/f.u.
* mass density: 10.253 g cm⁻³

a = 3.9817 Å, b = 4.1684 Å, c = 13.6028 Å
α = 98.81°, β = 90.00°, γ = 90.00°
Element x y z (fractional)
Pd 0.0000 0.4213 0.8426
Pd 0.5000 0.9235 0.8469
Pd 0.5000 0.0765 0.1531
Pd 0.0000 0.7786 0.5572
Pd 0.0000 0.2214 0.4428
Pd 0.0000 0.5787 0.1574
Pd 0.0000 0.0000 0.0000
Er 0.5000 0.5000 0.0000
Er 0.5000 0.3213 0.6427
Er 0.5000 0.6787 0.3573
Zn 0.0000 0.1318 0.2636
Zn 0.0000 0.8682 0.7364